1:
The following is a DFT calculation (PBE) of a geometry-optimized ZrAsSe2N structure.

Computed properties:
* total magnetization: 0.000 μB per formula unit
* calculated density: 5.89 Mg/m³
* V: 95 Å³/cell

Cell: 5.1147 5.1147 3.6464 Å, 90.00 90.00 90.00°
Closest atoms and distances in Å follow each position.
Atoms (fractional coordinates):
As: 0.0000 0.0000 0.0000  2 N 1.82
Se: 0.0000 0.5000 0.0000  2 As 2.56
Se: 0.5000 0.0000 0.0000  2 As 2.56
Zr: 0.5000 0.5000 0.5000  8 Se 3.14
N: 0.0000 0.0000 0.5000  2 As 1.82

2:
The following is a DFT calculation (PBE) of a geometry-optimized ZrAsSe2N structure.

Computed properties:
* total magnetization: 0.001 μB per formula unit
* calculated density: 4.92 Mg/m³
* V: 114 Å³/cell

Cell: 5.3519 5.3519 3.9835 Å, 90.00 90.00 90.00°
Closest atoms and distances in Å follow each position.
Atoms (fractional coordinates):
Zr: 0.0000 0.0000 0.0000  2 N 1.99
Se: 0.0000 0.5000 0.0000  2 Zr 2.68
Se: 0.5000 0.0000 0.0000  2 Zr 2.68
N: 0.0000 0.0000 0.5000  2 Zr 1.99
As: 0.5000 0.5000 0.5000  8 Se 3.34

3:
The following is a DFT calculation (PBE) of a geometry-optimized ZrAsSe2N structure.

Computed properties:
* total magnetization: 0.000 μB per formula unit
* calculated density: 6.58 Mg/m³
* V: 85 Å³/cell

Cell: 4.4495 4.4495 4.3118 Å, 90.00 90.00 90.00°
Closest atoms and distances in Å follow each position.
Atoms (fractional coordinates):
As: 0.0000 0.0000 0.5000  2 N 2.16
N: 0.0000 0.0000 0.0000  2 As 2.16, 4 Se 2.22
Zr: 0.5000 0.5000 0.5000  8 Se 3.10, 4 As 3.15
Se: 0.0000 0.5000 0.0000  2 N 2.22
Se: 0.5000 0.0000 0.0000  2 N 2.22

4:
The following is a DFT calculation (PBE) of a geometry-optimized ZrAsSe2N structure.

Computed properties:
* total magnetization: 1.680 μB per formula unit
* calculated density: 3.86 Mg/m³
* V: 145 Å³/cell

Cell: 5.1995 5.1995 5.3738 Å, 90.00 90.00 90.00°
Closest atoms and distances in Å follow each position.
Atoms (fractional coordinates):
Se: 0.0000 0.5000 0.0000  2 Zr 2.60
Se: 0.5000 0.0000 0.0000  2 Zr 2.60
Zr: 0.0000 0.0000 0.0000  4 Se 2.60, 2 As 2.69
N: 0.5000 0.5000 0.5000  4 As 3.68, 8 Se 3.74
As: 0.0000 0.0000 0.5000  2 Zr 2.69

Of them, 2 has the highest stability.

1:
The following is a DFT calculation (PBE) of a geometry-optimized ZrAsSeN2 structure.

Computed properties:
* total magnetization: 0.000 μB per formula unit
* calculated density: 6.04 Mg/m³
* V: 75 Å³/cell

Cell: 3.9172 4.8961 3.9172 Å, 90.00 90.00 90.00°
Closest atoms and distances in Å follow each position.
Atoms (fractional coordinates):
N: 0.5000 0.0000 0.0000  2 As 1.96
N: 0.0000 0.0000 0.5000  2 As 1.96
Zr: 0.5000 0.5000 0.5000  4 Se 2.77
As: 0.0000 0.0000 0.0000  4 N 1.96
Se: 0.0000 0.5000 0.0000  2 As 2.45

2:
The following is a DFT calculation (PBE) of a geometry-optimized ZrAsSeN2 structure.

Computed properties:
* total magnetization: 0.038 μB per formula unit
* calculated density: 4.72 Mg/m³
* V: 96 Å³/cell

Cell: 4.1247 4.1247 5.6476 Å, 90.00 90.00 90.00°
Closest atoms and distances in Å follow each position.
Atoms (fractional coordinates):
As: 0.5000 0.5000 0.5000  4 Se 2.92
N: 0.5000 0.0000 0.0000  2 Zr 2.06
N: 0.0000 0.5000 0.0000  2 Zr 2.06
Zr: 0.0000 0.0000 0.0000  4 N 2.06
Se: 0.0000 0.0000 0.5000  2 Zr 2.82, 4 As 2.92

Of them, 2 has the highest stability.

1:
The following is a DFT calculation (PBE) of a geometry-optimized Si2AsN structure.

Computed properties:
* total magnetization: 0.000 μB per formula unit
* calculated density: 3.68 Mg/m³
* V: 131 Å³/cell

Cell: 3.8604 2.8564 12.3158 Å, 90.00 105.38 90.00°
Closest atoms and distances in Å follow each position.
Atoms (fractional coordinates):
Si: 0.6336 0.0000 0.3592  2 N 1.75
Si: 0.0177 0.5000 0.7392  2 Si 2.35-2.44, 1 As 2.44
Si: 0.0177 0.0000 0.2392  2 Si 2.35-2.44, 1 As 2.44
Si: 0.6336 0.5000 0.8592  2 N 1.75
N: 0.6729 0.0000 0.9434  2 Si 1.75, 1 As 1.94
N: 0.6729 0.5000 0.4434  2 Si 1.75, 1 As 1.94
As: 0.4952 0.0000 0.0764  1 N 1.94
As: 0.4952 0.5000 0.5764  1 N 1.94

2:
The following is a DFT calculation (PBE) of a geometry-optimized Si2AsN structure.

Computed properties:
* total magnetization: 0.000 μB per formula unit
* calculated density: 3.58 Mg/m³
* V: 134 Å³/cell

Cell: 5.7463 3.0703 8.6660 Å, 90.00 118.42 90.00°
Closest atoms and distances in Å follow each position.
Atoms (fractional coordinates):
Si: 0.7841 0.0000 0.8523  2 N 1.79
Si: 0.5227 0.5000 0.0391  1 N 1.80
Si: 0.7841 0.5000 0.3523  2 N 1.79
Si: 0.5227 0.0000 0.5391  1 N 1.80
N: 0.7331 0.5000 0.9385  3 Si 1.79-1.80
N: 0.7331 0.0000 0.4385  3 Si 1.79-1.80
As: 0.1967 0.0000 0.8442  3 Si 2.39-2.41
As: 0.1967 0.5000 0.3442  3 Si 2.39-2.41

3:
The following is a DFT calculation (PBE) of a geometry-optimized Si2AsN structure.

Computed properties:
* total magnetization: 0.000 μB per formula unit
* calculated density: 3.09 Mg/m³
* V: 78 Å³/cell

Cell: 2.8007 3.5799 7.8872 Å, 90.00 99.48 90.00°
Closest atoms and distances in Å follow each position.
Atoms (fractional coordinates):
Si: 0.4240 0.5000 0.4731  2 N 1.74
Si: 0.0915 0.5000 0.8337  1 N 1.78
N: 0.9854 0.5000 0.6054  3 Si 1.74-1.78
As: 0.3292 0.0000 0.2682  2 Si 2.40

Of them, 2 has the highest stability.

1:
The following is a DFT calculation (PBE) of a geometry-optimized Si2AsN structure.

Computed properties:
* total magnetization: 0.000 μB per formula unit
* calculated density: 3.47 Mg/m³
* V: 139 Å³/cell

Cell: 10.0079 2.8164 5.0047 Å, 90.00 100.23 90.00°
Closest atoms and distances in Å follow each position.
Atoms (fractional coordinates):
N: 0.5697 0.5000 0.3167  3 Si 1.74-1.75
N: 0.5697 0.0000 0.8167  3 Si 1.74-1.75
Si: 0.1594 0.0000 0.7011  1 As 2.79, 6 Si 2.82-2.87
Si: 0.6282 0.5000 0.0070  3 N 1.74-1.75
Si: 0.1594 0.5000 0.2011  1 As 2.79, 6 Si 2.82-2.87
Si: 0.6282 0.0000 0.5070  3 N 1.74-1.75
As: 0.8760 0.0000 0.5971  1 Si 2.44
As: 0.8760 0.5000 0.0971  1 Si 2.44

2:
The following is a DFT calculation (PBE) of a geometry-optimized Si2AsN structure.

Computed properties:
* total magnetization: 0.000 μB per formula unit
* calculated density: 3.67 Mg/m³
* V: 131 Å³/cell

Cell: 3.8210 2.8714 12.3800 Å, 90.00 104.71 90.00°
Closest atoms and distances in Å follow each position.
Atoms (fractional coordinates):
N: 0.2243 0.0000 0.4802  3 Si 1.75-1.81
N: 0.2243 0.5000 0.9802  3 Si 1.75-1.81
Si: 0.4097 0.0000 0.3591  1 N 1.81
Si: 0.2572 0.0000 0.0627  2 N 1.75
Si: 0.4097 0.5000 0.8591  1 N 1.81
Si: 0.2572 0.5000 0.5627  2 N 1.75
As: 0.8722 0.5000 0.6882  3 Si 2.40-2.55
As: 0.8722 0.0000 0.1882  3 Si 2.40-2.55

Of them, 2 has the highest stability.

1:
The following is a DFT calculation (PBE) of a geometry-optimized Si2AsN structure.

Computed properties:
* total magnetization: 0.000 μB per formula unit
* calculated density: 3.54 Mg/m³
* V: 136 Å³/cell

Cell: 5.7473 2.8670 8.7806 Å, 90.00 109.95 90.00°
Closest atoms and distances in Å follow each position.
Atoms (fractional coordinates):
Si: 0.8275 0.0000 0.5040  1 N 1.80
Si: 0.8275 0.5000 0.0040  1 N 1.80
Si: 0.5772 0.0000 0.6751  2 N 1.74
Si: 0.5772 0.5000 0.1751  2 N 1.74
N: 0.6282 0.0000 0.2954  3 Si 1.74-1.80
N: 0.6282 0.5000 0.7954  3 Si 1.74-1.80
As: 0.2036 0.5000 0.9468  2 Si 2.38-2.39
As: 0.2036 0.0000 0.4468  2 Si 2.38-2.39

2:
The following is a DFT calculation (PBE) of a geometry-optimized Si2AsN structure.

Computed properties:
* total magnetization: 0.000 μB per formula unit
* calculated density: 3.53 Mg/m³
* V: 68 Å³/cell

Cell: 2.8627 2.8627 9.6612 Å, 92.82 91.83 120.00°
Closest atoms and distances in Å follow each position.
Atoms (fractional coordinates):
N: 0.0118 0.1768 0.4389  3 Si 1.75
As: 0.5340 0.3438 0.8719  1 Si 2.48
Si: 0.6632 0.4925 0.3788  3 N 1.75
Si: 0.5999 0.4193 0.1299  1 Si 2.40, 1 As 2.48

3:
The following is a DFT calculation (PBE) of a geometry-optimized Si2AsN structure.

Computed properties:
* total magnetization: 0.000 μB per formula unit
* calculated density: 4.03 Mg/m³
* V: 120 Å³/cell

Cell: 4.6260 4.6260 6.4799 Å, 69.09 69.09 90.00°
Closest atoms and distances in Å follow each position.
Atoms (fractional coordinates):
Si: 0.3750 0.4815 0.7500  2 N 1.93
Si: 0.8750 0.7685 0.7500  2 N 1.93
Si: 0.5185 0.1250 0.2500  2 N 1.93
Si: 0.2315 0.6250 0.2500  2 N 1.93
N: 0.5000 0.5000 0.0000  4 Si 1.93
N: 0.2500 0.7500 0.5000  4 Si 1.93
As: 0.0000 0.0000 0.0000  4 Si 2.45
As: 0.7500 0.2500 0.5000  4 Si 2.45

Of them, 2 has the highest stability.